Computed, not measured: a relaxed structure of DyCdBi at the PBE level of DFT.

a = 4.315 Å, b = 4.790 Å, c = 4.790 Å
α = 120.00°, β = 90.00°, γ = 90.00°
Sites, in units of the cell vectors:
Cd (0.327, 0.333, 0.667)
Bi (0.039, 0.000, 0.000)
Dy (0.635, 0.667, 0.333)

Output
- Space group: No. 156
- Distance to the lowest polymorph of the same formula: 0 meV per atom
- Energy relative to the elements: -0.32 eV/atom